Entry 1:
# TaFeTc2

Crystalline TaFeTc2 at its relaxed geometry (PBE-GGA, Alexandria).

Values from the calculation:
- SG = Imm2, No. 44
- uncorrected energy (eV per atom) = -10.328
- energy relative to the elements (eV per atom) = -0.07

Unit cell a=5.122 b=5.122 c=4.333 alpha=64.99 beta=64.99 gamma=35.66
Site moments in Bohr magnetons follow the coordinates.
Fractional coordinates of all 4 atoms:
Ta 0.251 0.251 0.249  -0.11
Tc 0.000 0.000 0.000  0.27
Tc 0.749 0.749 0.751  0.12
Fe 0.500 0.500 0.500  2.43

---

Entry 2:
# TaFeTc3

Crystalline TaFeTc3 at its relaxed geometry (PBE-GGA, Alexandria).

Values from the calculation:
- SG = Pm-3m, No. 221
- polymorph energy (0 for the lowest one) (meV/atom) = 0
- uncorrected energy (eV per atom) = -9.249
- energy relative to the elements (eV per atom) = 1.03

Unit cell a=4.373 b=4.373 c=4.373 alpha=90.00 beta=90.00 gamma=90.00
Fractional coordinates of all 5 atoms:
Tc 0.000 0.000 0.500
Tc 0.000 0.500 0.000
Tc 0.500 0.000 0.000
Ta 0.500 0.500 0.500
Fe 0.000 0.000 0.000

---

Entry 3:
# TaFeTc2

Crystalline TaFeTc2 at its relaxed geometry (PBE-GGA, Alexandria).

Values from the calculation:
- SG = I-4m2, No. 119
- uncorrected energy (eV per atom) = -10.229
- energy relative to the elements (eV per atom) = 0.03

Unit cell a=4.708 b=4.708 c=4.708 alpha=130.57 beta=130.57 gamma=72.50
Site moments in Bohr magnetons follow the coordinates.
Fractional coordinates of all 4 atoms:
Tc 0.000 0.000 0.000  0.04
Tc 0.250 0.750 0.500  -0.08
Ta 0.750 0.250 0.500  -0.13
Fe 0.500 0.500 0.000  1.91

---

Entry 4:
# TaFeTc2

Crystalline TaFeTc2 at its relaxed geometry (PBE-GGA, Alexandria).

Values from the calculation:
- SG = R3m, No. 160
- uncorrected energy (eV per atom) = -10.091
- energy relative to the elements (eV per atom) = 0.17

Unit cell a=9.170 b=9.170 c=9.170 alpha=17.32 beta=17.32 gamma=17.32
Site moments in Bohr magnetons follow the coordinates.
Fractional coordinates of all 4 atoms:
Tc 0.249 0.249 0.249  -0.01
Tc 0.995 0.995 0.995  0.06
Fe 0.504 0.504 0.504  2.06
Ta 0.753 0.753 0.753  -0.08

---

Entry 5:
# TaFeTc

Crystalline TaFeTc at its relaxed geometry (PBE-GGA, Alexandria).

Values from the calculation:
- SG = F-43m, No. 216
- polymorph energy (0 for the lowest one) (meV/atom) = 455
- uncorrected energy (eV per atom) = -9.846
- energy relative to the elements (eV per atom) = 0.38

Unit cell a=4.094 b=4.094 c=4.094 alpha=60.00 beta=60.00 gamma=60.00
Fractional coordinates of all 3 atoms:
Fe 0.750 0.750 0.750
Tc 0.500 0.500 0.500
Ta 0.000 0.000 0.000

---

Entry 6:
# TaFeTc2

Crystalline TaFeTc2 at its relaxed geometry (PBE-GGA, Alexandria).

Values from the calculation:
- SG = I-42d, No. 122
- uncorrected energy (eV per atom) = -9.708
- energy relative to the elements (eV per atom) = 0.55

Unit cell a=7.007 b=7.007 c=5.562 alpha=50.95 beta=50.95 gamma=90.00
Fractional coordinates of all 8 atoms:
Tc 0.167 0.625 0.250
Tc 0.875 0.833 0.750
Tc 0.375 0.417 0.750
Tc 0.583 0.125 0.250
Ta 0.750 0.250 0.500
Ta 0.000 0.000 0.000
Fe 0.500 0.500 0.000
Fe 0.250 0.750 0.500

---

Entry 7:
# Ta2FeTc

Crystalline Ta2FeTc at its relaxed geometry (PBE-GGA, Alexandria).

Values from the calculation:
- SG = Cmm2, No. 35
- uncorrected energy (eV per atom) = -10.586
- energy relative to the elements (eV per atom) = 0.05

Unit cell a=2.759 b=2.759 c=8.170 alpha=90.00 beta=90.00 gamma=96.30
Fractional coordinates of all 4 atoms:
Fe 0.500 0.500 0.731
Tc 0.000 0.000 0.538
Ta 0.500 0.500 0.262
Ta 0.000 0.000 0.970

---

Entry 8:
# Ta2FeTc

Crystalline Ta2FeTc at its relaxed geometry (PBE-GGA, Alexandria).

Values from the calculation:
- SG = Cmmm, No. 65
- uncorrected energy (eV per atom) = -10.717
- energy relative to the elements (eV per atom) = -0.08

Unit cell a=2.792 b=2.792 c=8.469 alpha=90.00 beta=90.00 gamma=109.67
Site moments in Bohr magnetons follow the coordinates.
Fractional coordinates of all 4 atoms:
Fe 0.500 0.500 0.750  1.76
Ta 0.000 0.000 0.990  -0.07
Ta 0.000 0.000 0.510  -0.07
Tc 0.500 0.500 0.250  -0.01